KCuNiF6 | Alexandria | PBE with a Hubbard U | optimized geometry; DFT total energy = -73.80 eV per cell; density of states at the Fermi level = 6.9 states/eV/cell
1.0
-1.476 0.449 6.938
2.125 -6.957 0.903
4.406 4.816 -3.015
K F Ni Cu
2 12 2 2
Cartesian
1.612 -1.382 0.433
3.443 -0.309 4.393
3.747 1.380 -0.722
4.410 -2.516 2.531
3.172 -4.697 0.979
1.883 3.005 3.846
4.632 -0.385 1.011
4.990 -2.692 -0.194
1.888 -3.248 2.823
1.308 -3.072 5.548
0.423 -1.307 3.815
3.167 1.556 2.003
0.644 0.824 2.294
0.065 1.000 5.019
2.203 2.408 -1.507
1.465 2.633 1.961
0.324 -3.254 3.920
-0.738 0.225 3.469